No. 1
Computed, not measured: a relaxed structure of LiLaFeGe2 at the GGA-PBE level of DFT.

Lattice parameters (Å, degrees): 4.5373 4.5373 4.4701 90.00 90.00 90.00
Last column: nearest neighbours and their distance in Å.
Space group P4/mmm (No. 123)
Inequivalent atoms, fractional coordinates:
Li 0.0000 0.0000 0.0000 [1 per cell]  2 Fe 2.24, 4 Ge 2.27
La 0.5000 0.5000 0.5000 [1 per cell]  8 Ge 3.18, 4 Fe 3.21
Fe 0.0000 0.0000 0.5000 [1 per cell]  2 Li 2.24
Ge 0.0000 0.5000 0.0000 [2 per cell]  2 Li 2.27

Summary:
For the total energy, the calculation gives -23.50 eV for the cell shown. As for the energy relative to the elements: 0.2075 eV per atom. Its calculated density is 6261 kg/m3.



No. 2
Computed, not measured: a relaxed structure of LaMnFeGe2 at the GGA-PBE level of DFT.

Lattice parameters (Å, degrees): 4.5521 4.5521 4.9701 90.00 90.00 90.00
Last column: nearest neighbours and their distance in Å.
Space group P4/mmm (No. 123)
Inequivalent atoms, fractional coordinates:
La 0.0000 0.0000 0.0000 [1 per cell]  2 Fe 2.49
Mn 0.5000 0.5000 0.0000 [1 per cell]  4 La 3.22, 8 Ge 3.37
Fe 0.0000 0.0000 0.5000 [1 per cell]  4 Ge 2.28, 2 La 2.49
Ge 0.0000 0.5000 0.5000 [2 per cell]  2 Fe 2.28

Summary:
For the total energy, the calculation gives -29.15 eV for the cell shown. As for the energy relative to the elements: 0.5284 eV per atom. Its calculated density is 6368 kg/m3.



No. 3
Computed, not measured: a relaxed structure of LaMnFeGe2 at the GGA-PBE level of DFT.

Lattice parameters (Å, degrees): 4.0952 4.0952 10.7042 90.00 90.00 90.00
Last column: nearest neighbours and their distance in Å.
Space group I-4m2 (No. 119)
Inequivalent atoms, fractional coordinates:
La 0.0000 0.0000 0.0000 [2 per cell]  8 Ge 3.21, 4 Mn 3.37, 4 Fe 3.37
Mn 0.0000 0.5000 0.7500 [2 per cell]  4 Ge 2.42
Fe 0.0000 0.5000 0.2500 [2 per cell]  4 Ge 2.42
Ge 0.0000 0.0000 0.3708 [4 per cell]  2 Mn 2.42, 2 Fe 2.42

Summary:
For the total energy, the calculation gives -68.26 eV for the cell shown. As for the energy relative to the elements: -0.4668 eV per atom. Its calculated density is 7307 kg/m3.



No. 4
Computed, not measured: a relaxed structure of La2FeGeN at the GGA-PBE level of DFT.

Lattice parameters (Å, degrees): 5.3171 5.3171 3.6564 90.00 90.00 90.00
Last column: nearest neighbours and their distance in Å.
Space group P4/mmm (No. 123)
Inequivalent atoms, fractional coordinates:
La 0.0000 0.5000 0.0000 [2 per cell]  2 N 2.66
Fe 0.0000 0.0000 0.5000 [1 per cell]  2 N 1.83
Ge 0.5000 0.5000 0.5000 [1 per cell]  8 La 3.23
N 0.0000 0.0000 0.0000 [1 per cell]  2 Fe 1.83

Summary:
For the total energy, the calculation gives -34.88 eV for the cell shown. Its calculated density is 6752 kg/m3. As for the energy relative to the elements, uncorrected: -0.7238 eV per atom.



No. 5
Computed, not measured: a relaxed structure of La2FeGePt6 at the GGA-PBE level of DFT.

Lattice parameters (Å, degrees): 12.1710 5.5070 8.4497 90.00 133.46 90.00
Last column: nearest neighbours and their distance in Å.
Space group C2/m (No. 12)
Inequivalent atoms, fractional coordinates:
La 0.2448 0.0000 0.2052 [4 per cell]  7 Pt 3.13-3.38
Fe 0.0000 0.5000 0.0000 [2 per cell]  6 Pt 2.50-2.52
Ge 0.0000 0.0000 0.5000 [2 per cell]  6 Pt 2.51-2.52
Pt 0.0012 0.2518 0.7503 [8 per cell]  1 Ge 2.52, 1 Fe 2.52, 4 Pt 2.73-2.79
Pt 0.2483 0.5000 0.3880 [4 per cell]  1 Fe 2.50, 1 Ge 2.51, 4 Pt 2.75-2.79

Summary:
For the total energy, the calculation gives -133.29 eV for the cell shown. As for the energy relative to the elements: -0.7464 eV per atom. Its calculated density is 12738 kg/m3.



No. 6
Computed, not measured: a relaxed structure of LaFeSiGe2 at the GGA-PBE level of DFT.

Lattice parameters (Å, degrees): 5.5622 5.5622 5.4564 90.00 90.00 90.00
Last column: nearest neighbours and their distance in Å.
Space group P4/mmm (No. 123)
Inequivalent atoms, fractional coordinates:
La 0.0000 0.0000 0.0000 [1 per cell]  2 Si 2.73, 4 Ge 2.78
Fe 0.5000 0.5000 0.5000 [1 per cell]  8 Ge 3.90, 4 Si 3.93
Si 0.0000 0.0000 0.5000 [1 per cell]  2 La 2.73
Ge 0.0000 0.5000 0.0000 [2 per cell]  2 La 2.78

Summary:
For the total energy, the calculation gives -20.06 eV for the cell shown. Its calculated density is 3621 kg/m3. As for the energy relative to the elements, uncorrected: 1.5982 eV per atom.



No. 7
Computed, not measured: a relaxed structure of LaFeTcGe2 at the GGA-PBE level of DFT.

Lattice parameters (Å, degrees): 4.1326 4.1326 10.9875 90.00 90.00 90.00
Last column: nearest neighbours and their distance in Å.
Space group I-4m2 (No. 119)
Inequivalent atoms, fractional coordinates:
La 0.0000 0.0000 0.0000 [2 per cell]  8 Ge 3.23, 4 Fe 3.44, 4 Tc 3.44
Fe 0.0000 0.5000 0.2500 [2 per cell]  4 Ge 2.47
Tc 0.0000 0.5000 0.7500 [2 per cell]  4 Ge 2.47
Ge 0.0000 0.0000 0.3738 [4 per cell]  2 Fe 2.47, 2 Tc 2.47

Summary:
For the total energy, the calculation gives -70.45 eV for the cell shown. As for the energy relative to the elements: -0.4469 eV per atom. Its calculated density is 7753 kg/m3.



No. 8
Computed, not measured: a relaxed structure of LaZn2FeGe at the GGA-PBE level of DFT.

Lattice parameters (Å, degrees): 4.6619 4.6619 4.5019 90.00 90.00 90.00
Last column: nearest neighbours and their distance in Å.
Space group P4/mmm (No. 123)
Inequivalent atoms, fractional coordinates:
La 0.0000 0.0000 0.0000 [1 per cell]  8 Zn 3.24, 4 Ge 3.30
Zn 0.0000 0.5000 0.5000 [2 per cell]  2 Fe 2.33
Fe 0.5000 0.5000 0.5000 [1 per cell]  2 Ge 2.25, 4 Zn 2.33
Ge 0.5000 0.5000 0.0000 [1 per cell]  2 Fe 2.25

Summary:
For the total energy, the calculation gives -21.96 eV for the cell shown. As for the energy relative to the elements: -0.2812 eV per atom. Its calculated density is 6758 kg/m3.



No. 9
Computed, not measured: a relaxed structure of LaZnFeGe2 at the GGA-PBE level of DFT.

Lattice parameters (Å, degrees): 4.6008 4.6008 4.6709 90.00 90.00 90.00
Last column: nearest neighbours and their distance in Å.
Space group P4/mmm (No. 123)
Inequivalent atoms, fractional coordinates:
La 0.0000 0.0000 0.0000 [1 per cell]  4 Zn 3.25, 8 Ge 3.28
Zn 0.5000 0.5000 0.0000 [1 per cell]  2 Fe 2.34
Fe 0.5000 0.5000 0.5000 [1 per cell]  4 Ge 2.30, 2 Zn 2.34
Ge 0.0000 0.5000 0.5000 [2 per cell]  2 Fe 2.30

Summary:
For the total energy, the calculation gives -25.43 eV for the cell shown. As for the energy relative to the elements: -0.3070 eV per atom. Its calculated density is 6810 kg/m3.



No. 10
Computed, not measured: a relaxed structure of Li2FeGe at the GGA-PBE level of DFT.

Lattice parameters (Å, degrees): 7.0366 7.0366 4.7981 90.00 90.00 90.00
Last column: nearest neighbours and their distance in Å.
Space group I-42d (No. 122)
Inequivalent atoms, fractional coordinates:
Li 0.2481 0.2500 0.1250 [8 per cell]  2 Li 2.40, 2 Fe 2.55, 2 Ge 2.57
Fe 0.0000 0.0000 0.0000 [4 per cell]  2 Ge 2.40, 4 Li 2.55
Ge 0.0000 0.0000 0.5000 [4 per cell]  2 Fe 2.40, 4 Li 2.57

Summary:
For the total energy, the calculation gives -63.87 eV for the cell shown. As for the energy relative to the elements: 0.2351 eV per atom. Its calculated density is 3980 kg/m3.



No. 11
Computed, not measured: a relaxed structure of LiFe6Ge12 at the GGA-PBE level of DFT.

Lattice parameters (Å, degrees): 8.3618 8.3618 8.3618 90.00 90.00 90.00
Last column: nearest neighbours and their distance in Å.
Space group Im-3 (No. 204)
Inequivalent atoms, fractional coordinates:
Li 0.0000 0.0000 0.0000 [2 per cell]  12 Ge 2.77
Fe 0.0000 0.1443 0.5000 [12 per cell]  2 Ge 2.37, 1 Fe 2.41
Ge 0.0000 0.2750 0.1840 [24 per cell]  1 Fe 2.37

Summary:
For the total energy, the calculation gives -208.14 eV for the cell shown. As for the energy relative to the elements: 0.2121 eV per atom. Its calculated density is 6894 kg/m3.



No. 12
Computed, not measured: a relaxed structure of LiFeGe3 at the GGA-PBE level of DFT.

Lattice parameters (Å, degrees): 4.7155 4.7155 4.7155 90.00 90.00 90.00
Last column: nearest neighbours and their distance in Å.
Space group Pm-3m (No. 221)
Inequivalent atoms, fractional coordinates:
Li 0.0000 0.0000 0.0000 [1 per cell]  12 Ge 3.33
Fe 0.5000 0.5000 0.5000 [1 per cell]  6 Ge 2.36
Ge 0.0000 0.5000 0.5000 [3 per cell]  2 Fe 2.36

Summary:
For the total energy, the calculation gives -23.57 eV for the cell shown. As for the energy relative to the elements: 0.1314 eV per atom. Its calculated density is 4445 kg/m3.